w.
VASP calculation (PBE) on an optimized crystal structure of TaNb2Tc.

Cell: 7.3314 7.3314 7.3314 Å, 143.67 143.67 52.32°
Element x y z (fractional)
Ta (0.1302, 0.1302, 0.0000)
Ta (0.8698, 0.8698, 0.0000)
Nb (0.0000, 0.5000, 0.5000)
Nb (0.3709, 0.3709, 0.0000)
Nb (0.5000, 0.0000, 0.5000)
Nb (0.6291, 0.6291, 0.0000)
Tc (0.2500, 0.7500, 0.5000)
Tc (0.7500, 0.2500, 0.5000)

As for the theoretical density: 11227 kg/m3. The space group is I4/mmm, No. 139. For the density of states at the Fermi level, the calculation gives 2.48 states/eV/f.u. The value obtained for the total magnetization is 0.0 μB/f.u.

x.
VASP calculation (PBE) on an optimized crystal structure of TaNb2Tc.

Cell: 5.8828 5.8828 5.8828 Å, 102.58 102.58 124.37°
Element x y z (fractional)
Ta (0.0000, 0.0000, 0.0000)
Ta (0.7500, 0.2500, 0.5000)
Nb (0.1505, 0.6250, 0.0255)
Nb (0.3750, 0.4005, 0.5255)
Nb (0.5995, 0.1250, 0.9745)
Nb (0.8750, 0.8495, 0.4745)
Tc (0.2500, 0.7500, 0.5000)
Tc (0.5000, 0.5000, 0.0000)

As for the theoretical density: 10385 kg/m3. The space group is I-42d, No. 122. For the density of states at the Fermi level, the calculation gives 3.07 states/eV/f.u. The value obtained for the total magnetization is 0.0 μB/f.u.

Q: Which of them is the least stable? A: x.

w.
VASP calculation (PBE) on an optimized crystal structure of Ta3Nb4Tc.

Cell: 9.4797 5.5464 5.4689 Å, 90.00 90.00 90.00°
Element x y z (fractional)
Ta (0.0000, 0.2033, 0.0000)
Ta (0.2467, 0.9339, 0.7694)
Ta (0.2533, 0.0661, 0.2694)
Ta (0.5000, 0.7967, 0.5000)
Ta (0.7467, 0.0661, 0.2694)
Ta (0.7533, 0.9339, 0.7694)
Nb (0.0000, 0.2996, 0.4975)
Nb (0.0000, 0.7982, 0.4958)
Nb (0.2486, 0.5661, 0.2580)
Nb (0.2514, 0.4339, 0.7580)
Nb (0.5000, 0.2018, 0.9958)
Nb (0.5000, 0.7004, 0.9975)
Nb (0.7486, 0.4339, 0.7580)
Nb (0.7514, 0.5661, 0.2580)
Tc (0.0000, 0.7096, 0.9996)
Tc (0.5000, 0.2904, 0.4996)

As for the theoretical density: 11694 kg/m3. The space group is Pmn2_1, No. 31. For the density of states at the Fermi level, the calculation gives 6.53 states/eV/f.u. The value obtained for the total magnetization is 0.0 μB/f.u.

x.
VASP calculation (PBE) on an optimized crystal structure of Ta3Nb4Tc.

Cell: 3.2639 3.2639 13.2932 Å, 90.00 90.00 90.00°
Element x y z (fractional)
Ta (0.0000, 0.0000, 0.0000)
Ta (0.0000, 0.0000, 0.2528)
Ta (0.0000, 0.0000, 0.7472)
Nb (0.5000, 0.5000, 0.1280)
Nb (0.5000, 0.5000, 0.3821)
Nb (0.5000, 0.5000, 0.6179)
Nb (0.5000, 0.5000, 0.8720)
Tc (0.0000, 0.0000, 0.5000)

As for the theoretical density: 11872 kg/m3. The space group is P4/mmm, No. 123. For the density of states at the Fermi level, the calculation gives 7.91 states/eV/f.u. The value obtained for the total magnetization is 0.0 μB/f.u.

Q: Which of them is the least stable? A: w.

w.
VASP calculation (PBE) on an optimized crystal structure of Ta4NbTc.

Cell: 3.2403 3.2403 9.9989 Å, 90.00 90.00 90.00°
Element x y z (fractional)
Ta (0.0000, 0.0000, 0.1567)
Ta (0.0000, 0.0000, 0.8433)
Ta (0.5000, 0.5000, 0.3318)
Ta (0.5000, 0.5000, 0.6682)
Nb (0.0000, 0.0000, 0.5000)
Tc (0.5000, 0.5000, 0.0000)

As for the theoretical density: 14467 kg/m3. The space group is P4/mmm, No. 123. For the density of states at the Fermi level, the calculation gives 4.83 states/eV/f.u. The value obtained for the total magnetization is 0.0 μB/f.u.

x.
VASP calculation (PBE) on an optimized crystal structure of Ta4NbTc.

Cell: 7.7049 7.7049 7.7049 Å, 33.42 33.42 33.42°
Element x y z (fractional)
Ta (0.1219, 0.1219, 0.1219)
Ta (0.3733, 0.3733, 0.3733)
Ta (0.6267, 0.6267, 0.6267)
Ta (0.8781, 0.8781, 0.8781)
Nb (0.5000, 0.5000, 0.5000)
Tc (0.0000, 0.0000, 0.0000)

As for the theoretical density: 12290 kg/m3. The space group is R-3m, No. 166. For the density of states at the Fermi level, the calculation gives 7.64 states/eV/f.u. The value obtained for the total magnetization is 0.0 μB/f.u.

Q: Which of them is the least stable? A: x.

w.
VASP calculation (PBE) on an optimized crystal structure of Ta2Nb2Tc.

Cell: 8.5821 8.5821 8.5821 Å, 158.27 158.27 30.93°
Element x y z (fractional)
Ta (0.0950, 0.0950, 0.0000)
Ta (0.9050, 0.9050, 0.0000)
Nb (0.2997, 0.2997, 0.0000)
Nb (0.7003, 0.7003, 0.0000)
Tc (0.5000, 0.5000, 0.0000)

As for the theoretical density: 12379 kg/m3. The space group is I4/mmm, No. 139. For the density of states at the Fermi level, the calculation gives 3.53 states/eV/f.u. The value obtained for the total magnetization is 0.0 μB/f.u.

x.
VASP calculation (PBE) on an optimized crystal structure of Ta2Nb2Tc.

Cell: 5.2772 5.2772 7.4057 Å, 102.77 102.77 108.68°
Element x y z (fractional)
Ta (0.0256, 0.6517, 0.7889)
Ta (0.3483, 0.9744, 0.2111)
Ta (0.6517, 0.0256, 0.7889)
Ta (0.9744, 0.3483, 0.2111)
Nb (0.2517, 0.2517, 0.9336)
Nb (0.3940, 0.3940, 0.6199)
Nb (0.6060, 0.6060, 0.3801)
Nb (0.7483, 0.7483, 0.0664)
Tc (0.1724, 0.8276, 0.5000)
Tc (0.8276, 0.1724, 0.5000)

As for the theoretical density: 11862 kg/m3. The space group is C2/m, No. 12. For the density of states at the Fermi level, the calculation gives 3.99 states/eV/f.u. The value obtained for the total magnetization is 0.0 μB/f.u.

Q: Which of them is the least stable? A: x.

w.
VASP calculation (PBE) on an optimized crystal structure of Ta2NbTlTc.

Cell: 5.0037 5.0037 4.8342 Å, 90.00 90.00 90.00°
Element x y z (fractional)
Ta (0.0000, 0.5000, 0.0000)
Ta (0.5000, 0.0000, 0.0000)
Nb (0.0000, 0.0000, 0.5000)
Tl (0.5000, 0.5000, 0.0000)
Tc (0.5000, 0.5000, 0.5000)

As for the theoretical density: 10388 kg/m3. The space group is P4/mmm, No. 123. For the density of states at the Fermi level, the calculation gives 8.77 states/eV/f.u. The value obtained for the total magnetization is 0.0 μB/f.u.

x.
VASP calculation (PBE) on an optimized crystal structure of Ta2NbTlTc.

Cell: 4.8395 4.8395 4.8439 Å, 90.00 90.00 90.00°
Element x y z (fractional)
Ta (0.0000, 0.5000, 0.0000)
Ta (0.5000, 0.0000, 0.0000)
Nb (0.0000, 0.0000, 0.5000)
Tl (0.5000, 0.5000, 0.5000)
Tc (0.0000, 0.0000, 0.0000)

As for the theoretical density: 11083 kg/m3. The space group is P4/mmm, No. 123. For the density of states at the Fermi level, the calculation gives 2.91 states/eV/f.u. The value obtained for the total magnetization is 0.0 μB/f.u.

Q: Which of them is the least stable? A: w.

w.
VASP calculation (PBE) on an optimized crystal structure of TaNbVTc.

Cell: 3.1670 3.1670 6.3929 Å, 90.00 90.00 90.00°
Element x y z (fractional)
Ta (0.0000, 0.0000, 0.0000)
Nb (0.0000, 0.0000, 0.4990)
V (0.5000, 0.5000, 0.2499)
Tc (0.5000, 0.5000, 0.7506)

As for the theoretical density: 10949 kg/m3. The space group is P4mm, No. 99. For the density of states at the Fermi level, the calculation gives 2.59 states/eV/f.u. The value obtained for the total magnetization is 0.0 μB/f.u.

x.
VASP calculation (PBE) on an optimized crystal structure of TaNbVTc.

Cell: 4.4947 4.4947 4.4947 Å, 60.00 60.00 60.00°
Element x y z (fractional)
Ta (0.0000, 0.0000, 0.0000)
Nb (0.5000, 0.5000, 0.5000)
V (0.7500, 0.7500, 0.7500)
Tc (0.2500, 0.2500, 0.2500)

As for the theoretical density: 10935 kg/m3. The space group is F-43m, No. 216. For the density of states at the Fermi level, the calculation gives 2.97 states/eV/f.u. The value obtained for the total magnetization is 0.0 μB/f.u.

Q: Which of them is the least stable? A: x.

w.
VASP calculation (PBE) on an optimized crystal structure of TaNbTcW.

Cell: 3.2129 3.2129 6.4565 Å, 90.00 90.00 90.00°
Element x y z (fractional)
Ta (0.0000, 0.0000, 0.0000)
Nb (0.0000, 0.0000, 0.4945)
Tc (0.5000, 0.5000, 0.2461)
W (0.5000, 0.5000, 0.7469)

As for the theoretical density: 13845 kg/m3. The space group is P4mm, No. 99. For the density of states at the Fermi level, the calculation gives 2.79 states/eV/f.u. The value obtained for the total magnetization is 0.0 μB/f.u.

x.
VASP calculation (PBE) on an optimized crystal structure of TaNbTcW.

Cell: 4.5470 4.5470 4.5470 Å, 60.00 60.00 60.00°
Element x y z (fractional)
Ta (0.0000, 0.0000, 0.0000)
Nb (0.5000, 0.5000, 0.5000)
Tc (0.2500, 0.2500, 0.2500)
W (0.7500, 0.7500, 0.7500)

As for the theoretical density: 13882 kg/m3. The space group is F-43m, No. 216. For the density of states at the Fermi level, the calculation gives 1.95 states/eV/f.u. The value obtained for the total magnetization is 0.0 μB/f.u.

Q: Which of them is the least stable? A: x.

w.
VASP calculation (PBE) on an optimized crystal structure of TaNbTe4.

Cell: 8.5491 8.5491 6.3684 Å, 104.25 104.25 123.38°
Element x y z (fractional)
Ta (0.0539, 0.9461, 0.7500)
Ta (0.9461, 0.0539, 0.2500)
Nb (0.1628, 0.8372, 0.2500)
Nb (0.8372, 0.1628, 0.7500)
Te (0.0507, 0.4349, 0.2474)
Te (0.2193, 0.3346, 0.7581)
Te (0.3346, 0.2193, 0.2581)
Te (0.4349, 0.0507, 0.7474)
Te (0.5651, 0.9493, 0.2526)
Te (0.6654, 0.7807, 0.7419)
Te (0.7807, 0.6654, 0.2419)
Te (0.9493, 0.5651, 0.7526)

As for the theoretical density: 7840 kg/m3. The space group is C2/c, No. 15. For the density of states at the Fermi level, the calculation gives 4.48 states/eV/f.u. The value obtained for the total magnetization is 0.0 μB/f.u.

x.
VASP calculation (PBE) on an optimized crystal structure of TaNbTe4.

Cell: 7.2995 7.7935 9.6166 Å, 111.37 90.04 103.48°
Element x y z (fractional)
Ta (0.0000, 0.0000, 0.0000)
Ta (0.1813, 0.7245, 0.7110)
Ta (0.6808, 0.7244, 0.7109)
Nb (0.3624, 0.4499, 0.4238)
Nb (0.4998, 0.9992, 0.9984)
Nb (0.8624, 0.4501, 0.4238)
Te (0.0046, 0.0197, 0.7268)
Te (0.0342, 0.1354, 0.3270)
Te (0.1785, 0.7158, 0.4076)
Te (0.1833, 0.7345, 0.0157)
Te (0.3272, 0.3122, 0.0955)
Te (0.3580, 0.4309, 0.6976)
Te (0.5042, 0.0184, 0.7246)
Te (0.5345, 0.1363, 0.3267)
Te (0.6787, 0.7158, 0.4076)
Te (0.6844, 0.7345, 0.0156)
Te (0.8279, 0.3122, 0.0955)
Te (0.8578, 0.4306, 0.6972)

As for the theoretical density: 7922 kg/m3. The space group is P1, No. 1. For the density of states at the Fermi level, the calculation gives 2.58 states/eV/f.u. The value obtained for the total magnetization is 0.0 μB/f.u.

y.
VASP calculation (PBE) on an optimized crystal structure of TaNbTe4.

Cell: 8.8246 8.8246 6.5771 Å, 102.97 102.97 131.71°
Element x y z (fractional)
Ta (0.0491, 0.9509, 0.7500)
Ta (0.9509, 0.0491, 0.2500)
Nb (0.4535, 0.5465, 0.2500)
Nb (0.5465, 0.4535, 0.7500)
Te (0.0709, 0.4341, 0.2545)
Te (0.1594, 0.3351, 0.7501)
Te (0.3351, 0.1594, 0.2501)
Te (0.4341, 0.0709, 0.7545)
Te (0.5659, 0.9291, 0.2455)
Te (0.6649, 0.8406, 0.7499)
Te (0.8406, 0.6649, 0.2499)
Te (0.9291, 0.5659, 0.7455)

As for the theoretical density: 8147 kg/m3. The space group is C2/c, No. 15. For the density of states at the Fermi level, the calculation gives 4.50 states/eV/f.u. The value obtained for the total magnetization is 0.0 μB/f.u.

Q: Which of them is the least stable? A: y.

w.
VASP calculation (PBE) on an optimized crystal structure of TaNbTe.

Cell: 5.3185 5.3185 7.5500 Å, 104.49 104.49 38.29°
Element x y z (fractional)
Ta (0.1328, 0.1328, 0.4359)
Ta (0.8672, 0.8672, 0.5641)
Nb (0.4141, 0.4141, 0.2741)
Nb (0.5859, 0.5859, 0.7259)
Te (0.3248, 0.3248, 0.8464)
Te (0.6752, 0.6752, 0.1536)

As for the theoretical density: 10449 kg/m3. The space group is C2/m, No. 12. For the density of states at the Fermi level, the calculation gives 1.99 states/eV/f.u. The value obtained for the total magnetization is 0.0 μB/f.u.

x.
VASP calculation (PBE) on an optimized crystal structure of TaNbTe.

Cell: 5.5526 5.5526 10.1839 Å, 112.09 112.09 32.92°
Element x y z (fractional)
Ta (0.1255, 0.1255, 0.1235)
Ta (0.8745, 0.8745, 0.8765)
Nb (0.1482, 0.1482, 0.8666)
Nb (0.8518, 0.8518, 0.1334)
Te (0.4284, 0.4284, 0.6624)
Te (0.5716, 0.5716, 0.3376)

As for the theoretical density: 8494 kg/m3. The space group is C2/m, No. 12. For the density of states at the Fermi level, the calculation gives 1.91 states/eV/f.u. The value obtained for the total magnetization is 0.0 μB/f.u.

Q: Which of them is the least stable? A: x.

w.
VASP calculation (PBE) on an optimized crystal structure of TaNb3Te.

Cell: 4.9381 4.9381 4.9381 Å, 90.00 90.00 90.00°
Element x y z (fractional)
Ta (0.0000, 0.0000, 0.0000)
Nb (0.0000, 0.5000, 0.5000)
Nb (0.5000, 0.0000, 0.5000)
Nb (0.5000, 0.5000, 0.0000)
Te (0.5000, 0.5000, 0.5000)

As for the theoretical density: 8098 kg/m3. The space group is Pm-3m, No. 221. For the density of states at the Fermi level, the calculation gives 4.99 states/eV/f.u. The value obtained for the total magnetization is 0.0 μB/f.u.

x.
VASP calculation (PBE) on an optimized crystal structure of TaNb3Te.

Cell: 4.9522 4.9522 4.9522 Å, 90.00 90.00 90.00°
Element x y z (fractional)
Ta (0.0000, 0.0000, 0.0000)
Nb (0.0000, 0.0000, 0.5000)
Nb (0.0000, 0.5000, 0.0000)
Nb (0.5000, 0.0000, 0.0000)
Te (0.5000, 0.5000, 0.5000)

As for the theoretical density: 8029 kg/m3. The space group is Pm-3m, No. 221. For the density of states at the Fermi level, the calculation gives 4.09 states/eV/f.u. The value obtained for the total magnetization is 0.0 μB/f.u.

Q: Which of them is the least stable? A: w.

w.
VASP calculation (PBE) on an optimized crystal structure of TaNbTe2.

Cell: 4.8415 4.8415 4.8415 Å, 60.00 60.00 60.00°
Element x y z (fractional)
Ta (0.0000, 0.0000, 0.0000)
Nb (0.5000, 0.5000, 0.5000)
Te (0.2500, 0.2500, 0.2500)
Te (0.7500, 0.7500, 0.7500)

As for the theoretical density: 10948 kg/m3. The space group is Fm-3m, No. 225. For the density of states at the Fermi level, the calculation gives 4.74 states/eV/f.u. The value obtained for the total magnetization is 0.0 μB/f.u.

x.
VASP calculation (PBE) on an optimized crystal structure of TaNbTe2.

Cell: 9.7415 9.7415 9.7415 Å, 19.77 19.77 19.77°
Element x y z (fractional)
Ta (0.0000, 0.0000, 0.0000)
Nb (0.5000, 0.5000, 0.5000)
Te (0.0963, 0.0963, 0.0963)
Te (0.9037, 0.9037, 0.9037)

As for the theoretical density: 9493 kg/m3. The space group is R-3m, No. 166. For the density of states at the Fermi level, the calculation gives 4.91 states/eV/f.u. The value obtained for the total magnetization is 0.0 μB/f.u.

y.
VASP calculation (PBE) on an optimized crystal structure of TaNbTe2.

Cell: 7.7637 7.7637 7.7637 Å, 131.68 131.68 70.73°
Element x y z (fractional)
Ta (0.0000, 0.0000, 0.0000)
Ta (0.7500, 0.2500, 0.5000)
Nb (0.2500, 0.7500, 0.5000)
Nb (0.5000, 0.5000, 0.0000)
Te (0.1189, 0.6250, 0.9939)
Te (0.3750, 0.3689, 0.4939)
Te (0.6311, 0.1250, 0.0061)
Te (0.8750, 0.8811, 0.5061)

As for the theoretical density: 6872 kg/m3. The space group is I-42d, No. 122. For the density of states at the Fermi level, the calculation gives 3.52 states/eV/f.u. The value obtained for the total magnetization is 4.2 μB/f.u.

z.
VASP calculation (PBE) on an optimized crystal structure of TaNbTe2.

Cell: 8.8493 6.3736 8.6861 Å, 90.00 116.76 90.00°
Element x y z (fractional)
Ta (0.1175, 0.1644, 0.0614)
Ta (0.1175, 0.3356, 0.5614)
Ta (0.8825, 0.6644, 0.4386)
Ta (0.8825, 0.8356, 0.9386)
Nb (0.0209, 0.5286, 0.8012)
Nb (0.0209, 0.9714, 0.3012)
Nb (0.9791, 0.0286, 0.6988)
Nb (0.9791, 0.4714, 0.1988)
Te (0.2215, 0.7300, 0.1448)
Te (0.2215, 0.7700, 0.6448)
Te (0.3220, 0.2462, 0.9084)
Te (0.3220, 0.2538, 0.4084)
Te (0.6780, 0.7462, 0.5916)
Te (0.6780, 0.7538, 0.0916)
Te (0.7785, 0.2300, 0.3552)
Te (0.7785, 0.2700, 0.8552)

As for the theoretical density: 8033 kg/m3. The space group is P2_1/c, No. 14. For the density of states at the Fermi level, the calculation gives 2.57 states/eV/f.u. The value obtained for the total magnetization is 0.0 μB/f.u.

Q: Which of them is the least stable? A: y.